Entry from Alexandria via LeMat-Bulk: an optimized crystal structure of EuDyZr (GGA-PBE).

Output
total DFT energy (no corrections): -7.6330 eV/atom
energy of formation: 0.1753 eV/atom
total magnetization: 7.53 μB/f.u.
excess energy over the best structure of this formula in the dataset: 20 meV/atom

Structure (POSCAR):
```
EuDyZr
1.0
3.458 0.000 0.000
-1.729 2.995 0.000
0.000 0.000 8.674
Dy Zr Eu
1 1 1
Direct
0.333 0.667 0.639
0.667 0.333 0.345
0.000 0.000 0.016
```